[1]
DFT (GGA-PBE) results for NaOsBr2 after structural relaxation.

a b c (Å): 4.7863 4.7863 4.7863
angles (deg): 60.00 60.00 60.00
Closest atoms and distances in Å follow each position.
Positions (direct):
Na  0.0000  0.0000  0.0000  8 Br 2.93
Os  0.5000  0.5000  0.5000  8 Br 2.93
Br  0.2500  0.2500  0.2500  4 Na 2.93, 4 Os 2.93
Br  0.7500  0.7500  0.7500  4 Na 2.93, 4 Os 2.93



[2]
DFT (GGA-PBE) results for GeAsSe2N after structural relaxation.

a b c (Å): 5.2053 5.2053 3.6642
angles (deg): 90.00 90.00 90.00
Closest atoms and distances in Å follow each position.
Positions (direct):
As  0.0000  0.0000  0.0000  2 N 1.83
Ge  0.5000  0.5000  0.5000  8 Se 3.18
Se  0.0000  0.5000  0.0000  2 As 2.60
Se  0.5000  0.0000  0.0000  2 As 2.60
N  0.0000  0.0000  0.5000  2 As 1.83



| no. | size of the total moment (μB per formula unit) | formation energy from raw total energies (eV/atom) | ΔE to the lowest computed polymorph (meV per atom) |
| --- | --- | --- | --- |
| 1 | 0.00 | 0.65 | 325 |
| 2 | 0.00 | 0.75 | 0 |